Computed, not measured: an optimized crystal structure of Sr10TiRu4O20 at the PBE level of DFT.

Results
Density (kg/m³): 5562
Volume (Å³ per atom): 14.06
Total DFT energy (no corrections) (Ry per atom): -0.50491
Uncorrected formation energy (eV/atom): -2.270
Total moment (μB/cell): 11.28

Cell lengths 3.913, 3.913, 64.288 Å; angles 90.00, 90.00, 90.00 degrees
Space group I4/mmm (No. 139)
Symmetry-distinct sites (fractional):
Sr1 0.000 0.000 0.029
Sr2 0.000 0.000 0.170
Sr3 0.000 0.000 0.229
Sr4 0.000 0.000 0.371
Sr5 0.000 0.000 0.430
Ti1 0.000 0.000 0.500
Ru1 0.000 0.000 0.100
Ru2 0.000 0.000 0.300
O1 0.000 0.000 0.067
O2 0.000 0.000 0.132
O3 0.000 0.000 0.267
O4 0.000 0.000 0.333
O5 0.000 0.000 0.469
O6 0.000 0.500 0.000
O7 0.000 0.500 0.100
O8 0.000 0.500 0.200